The following is a DFT calculation (PBE) of a relaxed La4ZrIr crystal.

Computed properties:
- Total moment: 1.43 μB/cell
- ΔH_f (0 K): 0.698 eV per atom
- Final energy: -32.932 eV for the cell shown
- Calculated volume: 171 Å³ per cell
- N(E_F): 9.00 states/eV/cell
- Calculated density: 8.16 g/cm3

Cell lengths 6.2271, 6.2271, 6.2271 Å; angles 60.00, 60.00, 60.00 degrees
Last column: nearest neighbours and their distance in Å.
Sites, in units of the cell vectors:
La (0.8800, 0.3733, 0.3733)  6 La 3.07-3.16
La (0.3733, 0.3733, 0.8800)  6 La 3.07-3.16
La (0.3733, 0.8800, 0.3733)  6 La 3.07-3.16
La (0.3733, 0.3733, 0.3733)  6 La 3.07-3.16
Zr (0.7500, 0.7500, 0.7500)  12 La 3.66, 4 Ir 3.81
Ir (0.0000, 0.0000, 0.0000)  12 La 3.65, 4 Zr 3.81